# YScAlNi (GGA-PBE, relaxed)
# * DFT formation energy: -0.3473 eV/atom
# * crystal system: cubic
# * final energy: -5.93 eV per atom
data_YScAlNi
_chemical_formula_sum 'Y4 Sc4 Al4 Ni4'
_cell_length_a 6.828
_cell_length_b 6.828
_cell_length_c 6.828
_cell_angle_alpha 90.00
_cell_angle_beta 90.00
_cell_angle_gamma 90.00
_space_group_name_H-M_alt 'F -4 3 m'
_space_group_IT_number 216
_space_group_name_Hall 'F -4 2 3'
loop_
_atom_site_label
_atom_site_type_symbol
_atom_site_fract_x
_atom_site_fract_y
_atom_site_fract_z
Y1 Y 0.000 0.000 0.000
Sc1 Sc 0.000 0.000 0.500
Al1 Al 0.250 0.250 0.250
Ni1 Ni 0.250 0.250 0.750

---

# YScAlNi2 (GGA-PBE, relaxed)
# * DFT formation energy: 0.4392 eV/atom
# * crystal system: tetragonal
# * final energy: -5.18 eV per atom
data_YScAlNi2
_chemical_formula_sum 'Y1 Sc1 Al1 Ni2'
_cell_length_a 4.458
_cell_length_b 4.458
_cell_length_c 5.173
_cell_angle_alpha 90.00
_cell_angle_beta 90.00
_cell_angle_gamma 90.00
_space_group_name_H-M_alt 'P 4/m m m'
_space_group_IT_number 123
_space_group_name_Hall '-P 4 2'
loop_
_atom_site_label
_atom_site_type_symbol
_atom_site_fract_x
_atom_site_fract_y
_atom_site_fract_z
Y1 Y 0.000 0.000 0.000
Sc1 Sc 0.500 0.500 0.000
Al1 Al 0.000 0.000 0.500
Ni1 Ni 0.000 0.500 0.500

---

# Sc2Al2ZnNi5 (GGA-PBE, relaxed)
# * DFT formation energy: -0.3709 eV/atom
# * crystal system: tetragonal
# * final energy: -5.40 eV per atom
data_Sc2Al2ZnNi5
_chemical_formula_sum 'Sc4 Al4 Zn2 Ni10'
_cell_length_a 9.294
_cell_length_b 9.294
_cell_length_c 3.302
_cell_angle_alpha 90.00
_cell_angle_beta 90.00
_cell_angle_gamma 90.00
_space_group_name_H-M_alt 'P 4/m b m'
_space_group_IT_number 127
_space_group_name_Hall '-P 4 2ab'
loop_
_atom_site_label
_atom_site_type_symbol
_atom_site_fract_x
_atom_site_fract_y
_atom_site_fract_z
Sc1 Sc 0.174 0.326 0.000
Al1 Al 0.124 0.624 0.000
Zn1 Zn 0.000 0.000 0.000
Ni1 Ni 0.000 0.500 0.500
Ni2 Ni 0.058 0.799 0.500

---

# ZrScAlNi (GGA-PBE, relaxed)
# * DFT formation energy: -0.3335 eV/atom
# * crystal system: cubic
# * final energy: -6.43 eV per atom
data_ZrScAlNi
_chemical_formula_sum 'Zr4 Sc4 Al4 Ni4'
_cell_length_a 6.615
_cell_length_b 6.615
_cell_length_c 6.615
_cell_angle_alpha 90.00
_cell_angle_beta 90.00
_cell_angle_gamma 90.00
_space_group_name_H-M_alt 'F -4 3 m'
_space_group_IT_number 216
_space_group_name_Hall 'F -4 2 3'
loop_
_atom_site_label
_atom_site_type_symbol
_atom_site_fract_x
_atom_site_fract_y
_atom_site_fract_z
Zr1 Zr 0.000 0.000 0.000
Sc1 Sc 0.000 0.000 0.500
Al1 Al 0.250 0.250 0.250
Ni1 Ni 0.250 0.250 0.750

---

# AlNi2Se (GGA-PBE, relaxed)
# * formation energy (no corrections): -2.2 kcal/mol of atoms
# * crystal system: tetragonal
# * final energy: -4.79 eV per atom
data_AlNi2Se
_chemical_formula_sum 'Al4 Ni8 Se4'
_cell_length_a 3.911
_cell_length_b 3.911
_cell_length_c 15.547
_cell_angle_alpha 90.00
_cell_angle_beta 90.00
_cell_angle_gamma 90.00
_space_group_name_H-M_alt 'I -4 2 d'
_space_group_IT_number 122
_space_group_name_Hall 'I -4 2bw'
loop_
_atom_site_label
_atom_site_type_symbol
_atom_site_fract_x
_atom_site_fract_y
_atom_site_fract_z
Al1 Al 0.000 0.000 0.000
Ni1 Ni 0.236 0.250 0.625
Se1 Se 0.000 0.000 0.500

---

# AlNi2Se (GGA-PBE, relaxed)
# * formation energy (no corrections): -3.5 kcal/mol of atoms
# * crystal system: monoclinic
# * final energy: -4.85 eV per atom
data_AlNi2Se
_chemical_formula_sum 'Al2 Ni4 Se2'
_cell_length_a 7.711
_cell_length_b 3.094
_cell_length_c 4.699
_cell_angle_alpha 90.00
_cell_angle_beta 101.75
_cell_angle_gamma 90.00
_space_group_name_H-M_alt 'C 1 2/m 1'
_space_group_IT_number 12
loop_
_space_group_symop_operation_xyz
'x,y,z'
'-x,-y,-z'
'-x,y,-z'
'x,-y,z'
'x+1/2,y+1/2,z'
'-x+1/2,-y+1/2,-z'
'-x+1/2,y+1/2,-z'
'x+1/2,-y+1/2,z'
loop_
_atom_site_label
_atom_site_type_symbol
_atom_site_fract_x
_atom_site_fract_y
_atom_site_fract_z
Al1 Al 0.000 0.000 0.000
Ni1 Ni 0.247 0.500 0.234
Se1 Se 0.000 0.500 0.500